Model one:
A plane-wave DFT calculation with PBE-GGA was carried out for a relaxed structure of KHgBrF2.

a = 6.655 Å, b = 4.810 Å, c = 8.153 Å
α = 90.00°, β = 95.45°, γ = 90.00°
Atoms (fractional coordinates):
K 0.185 0.250 0.396
K 0.815 0.750 0.604
Hg 0.172 0.250 0.893
Hg 0.828 0.750 0.107
Br 0.495 0.750 0.227
Br 0.505 0.250 0.773
F 0.023 0.750 0.907
F 0.038 0.750 0.354
F 0.962 0.250 0.646
F 0.977 0.250 0.093

## Properties
SG: P2_1/m (11)


Model two:
A plane-wave DFT calculation with PBE-GGA was carried out for a relaxed structure of KHgBrF2.

a = 4.670 Å, b = 4.670 Å, c = 5.540 Å
α = 90.00°, β = 90.00°, γ = 90.00°
Atoms (fractional coordinates):
K 0.000 0.000 0.000
Hg 0.500 0.500 0.500
Br 0.500 0.500 0.000
F 0.000 0.500 0.500
F 0.500 0.000 0.500

## Properties
SG: P4/mmm (123)


Most stable to least stable: model one, model two


Model one:
A plane-wave DFT calculation with PBE-GGA was carried out for a relaxed structure of HgBrN2F.

a = 3.804 Å, b = 3.804 Å, c = 5.489 Å
α = 90.00°, β = 90.00°, γ = 90.00°
Atoms (fractional coordinates):
Hg 0.000 0.000 0.000
Br 0.500 0.500 0.500
N 0.000 0.500 0.500
N 0.500 0.000 0.500
F 0.500 0.500 0.000

## Properties
SG: P4/mmm (123)


Model two:
A plane-wave DFT calculation with PBE-GGA was carried out for a relaxed structure of HgBrN2F.

a = 4.478 Å, b = 4.478 Å, c = 4.465 Å
α = 90.00°, β = 90.00°, γ = 90.00°
Atoms (fractional coordinates):
Hg 0.000 0.000 0.000
Br 0.500 0.500 0.500
N 0.000 0.500 0.000
N 0.500 0.000 0.000
F 0.000 0.000 0.500

## Properties
SG: P4/mmm (123)


Most stable to least stable: model two, model one


Model one:
A plane-wave DFT calculation with PBE-GGA was carried out for a relaxed structure of TlHgBr2F.

a = 5.661 Å, b = 5.661 Å, c = 4.548 Å
α = 90.00°, β = 90.00°, γ = 90.00°
Atoms (fractional coordinates):
Tl 0.000 0.000 0.000
Hg 0.500 0.500 0.500
Br 0.000 0.500 0.500
Br 0.500 0.000 0.500
F 0.500 0.500 0.000

## Properties
SG: P4/mmm (123)


Model two:
A plane-wave DFT calculation with PBE-GGA was carried out for a relaxed structure of TlHgBr2F.

a = 8.277 Å, b = 4.201 Å, c = 9.291 Å
α = 90.00°, β = 105.71°, γ = 90.00°
Atoms (fractional coordinates):
Tl 0.224 0.250 0.092
Tl 0.776 0.750 0.908
Hg 0.154 0.750 0.683
Hg 0.846 0.250 0.317
Br 0.116 0.750 0.378
Br 0.380 0.250 0.774
Br 0.620 0.750 0.226
Br 0.884 0.250 0.622
F 0.101 0.750 0.923
F 0.899 0.250 0.077

## Properties
SG: P2_1/m (11)


Most stable to least stable: model two, model one


Model one:
A plane-wave DFT calculation with PBE-GGA was carried out for a relaxed structure of TlHgBrF2.

a = 6.689 Å, b = 4.554 Å, c = 8.512 Å
α = 90.00°, β = 99.99°, γ = 90.00°
Atoms (fractional coordinates):
Tl 0.207 0.250 0.412
Tl 0.793 0.750 0.588
Hg 0.189 0.250 0.914
Hg 0.811 0.750 0.086
Br 0.482 0.750 0.191
Br 0.518 0.250 0.809
F 0.007 0.750 0.903
F 0.010 0.750 0.354
F 0.990 0.250 0.646
F 0.993 0.250 0.097

## Properties
SG: P2_1/m (11)


Model two:
A plane-wave DFT calculation with PBE-GGA was carried out for a relaxed structure of TlHgBrF2.

a = 4.675 Å, b = 4.675 Å, c = 5.585 Å
α = 90.00°, β = 90.00°, γ = 90.00°
Atoms (fractional coordinates):
Tl 0.000 0.000 0.000
Hg 0.500 0.500 0.500
Br 0.500 0.500 0.000
F 0.000 0.500 0.500
F 0.500 0.000 0.500

## Properties
SG: P4/mmm (123)


Most stable to least stable: model one, model two


Model one:
A plane-wave DFT calculation with PBE-GGA was carried out for a relaxed structure of IBr3F.

a = 5.593 Å, b = 5.593 Å, c = 5.593 Å
α = 90.00°, β = 90.00°, γ = 90.00°
Atoms (fractional coordinates):
I 0.000 0.000 0.000
Br 0.000 0.000 0.500
Br 0.000 0.500 0.000
Br 0.500 0.000 0.000
F 0.500 0.500 0.500

## Properties
SG: Pm-3m (221)


Model two:
A plane-wave DFT calculation with PBE-GGA was carried out for a relaxed structure of IBr3F.

a = 10.504 Å, b = 6.082 Å, c = 13.685 Å
α = 90.00°, β = 122.09°, γ = 90.00°
Atoms (fractional coordinates):
I 0.244 0.033 0.111
I 0.244 0.467 0.611
I 0.756 0.533 0.389
I 0.756 0.967 0.889
Br 0.050 0.737 0.108
Br 0.050 0.763 0.608
Br 0.238 0.217 0.766
Br 0.238 0.283 0.266
Br 0.432 0.202 0.601
Br 0.432 0.298 0.101
Br 0.568 0.702 0.899
Br 0.568 0.798 0.399
Br 0.762 0.717 0.734
Br 0.762 0.783 0.234
Br 0.950 0.237 0.392
Br 0.950 0.263 0.892
F 0.249 0.656 0.492
F 0.249 0.844 0.992
F 0.751 0.156 0.008
F 0.751 0.344 0.508

## Properties
SG: P2_1/c (14)


Model three:
A plane-wave DFT calculation with PBE-GGA was carried out for a relaxed structure of IBr3F.

a = 5.105 Å, b = 5.105 Å, c = 5.105 Å
α = 90.00°, β = 90.00°, γ = 90.00°
Atoms (fractional coordinates):
I 0.000 0.000 0.000
Br 0.000 0.500 0.500
Br 0.500 0.000 0.500
Br 0.500 0.500 0.000
F 0.500 0.500 0.500

## Properties
SG: Pm-3m (221)


Most stable to least stable: model two, model one, model three


Model one:
A plane-wave DFT calculation with PBE-GGA was carried out for a relaxed structure of IBrF3.

a = 4.569 Å, b = 4.569 Å, c = 4.569 Å
α = 90.00°, β = 90.00°, γ = 90.00°
Atoms (fractional coordinates):
I 0.000 0.000 0.000
Br 0.500 0.500 0.500
F 0.000 0.000 0.500
F 0.000 0.500 0.000
F 0.500 0.000 0.000

## Properties
SG: Pm-3m (221)


Model two:
A plane-wave DFT calculation with PBE-GGA was carried out for a relaxed structure of IBrF3.

a = 5.631 Å, b = 6.196 Å, c = 7.204 Å
α = 87.14°, β = 87.17°, γ = 85.02°
Atoms (fractional coordinates):
I 0.000 0.000 0.000
I 0.329 0.208 0.510
Br 0.088 0.571 0.482
Br 0.690 0.729 0.060
F 0.113 0.081 0.329
F 0.243 0.205 0.870
F 0.483 0.289 0.281
F 0.552 0.950 0.486
F 0.584 0.341 0.613
F 0.952 0.970 0.738

## Properties
SG: P1 (1)


Most stable to least stable: model two, model one


Model one:
A plane-wave DFT calculation with PBE-GGA was carried out for a relaxed structure of I2BrF.

a = 9.644 Å, b = 9.644 Å, c = 9.644 Å
α = 146.45°, β = 146.45°, γ = 48.18°
Atoms (fractional coordinates):
I 0.375 0.209 0.334
I 0.791 0.125 0.166
I 0.875 0.041 0.666
I 0.959 0.625 0.834
Br 0.250 0.750 0.500
Br 0.500 0.500 0.000
F 0.000 0.000 0.000
F 0.750 0.250 0.500

## Properties
SG: I-42d (122)


Model two:
A plane-wave DFT calculation with PBE-GGA was carried out for a relaxed structure of I2BrF.

a = 5.248 Å, b = 5.248 Å, c = 5.248 Å
α = 60.00°, β = 60.00°, γ = 60.00°
Atoms (fractional coordinates):
I 0.250 0.250 0.250
I 0.750 0.750 0.750
Br 0.000 0.000 0.000
F 0.500 0.500 0.500

## Properties
SG: Fm-3m (225)


Most stable to least stable: model one, model two


Model one:
A plane-wave DFT calculation with PBE-GGA was carried out for a relaxed structure of I2BrOF.

a = 5.320 Å, b = 5.320 Å, c = 4.002 Å
α = 90.00°, β = 90.00°, γ = 90.00°
Atoms (fractional coordinates):
I 0.000 0.500 0.000
I 0.500 0.000 0.000
Br 0.000 0.000 0.500
O 0.500 0.500 0.500
F 0.500 0.500 0.000

## Properties
SG: P4/mmm (123)


Model two:
A plane-wave DFT calculation with PBE-GGA was carried out for a relaxed structure of I2BrOF.

a = 5.951 Å, b = 5.951 Å, c = 3.739 Å
α = 90.00°, β = 90.00°, γ = 90.00°
Atoms (fractional coordinates):
I 0.000 0.500 0.000
I 0.500 0.000 0.000
Br 0.000 0.000 0.000
O 0.000 0.000 0.500
F 0.500 0.500 0.500

## Properties
SG: P4/mmm (123)


Most stable to least stable: model two, model one